{
  "formula": "CoPbF2",
  "functional": "PBE+U",
  "state": "relaxed",
  "lattice_angstrom": [[1.9128, 0.0000, 7.9938], [-0.9564, 1.6565, 7.9938], [-0.9564, -1.6565, 7.9938]],
  "species": ["Pb", "Co", "F", "F"],
  "frac_coords": [[0.5000, 0.5000, 0.5000], [0.0000, 0.0000, 0.0000], [0.9244, 0.9244, 0.9244], [0.0756, 0.0756, 0.0756]],
  "relative_energy_ev_per_atom": 0.271,
  "dos_at_fermi_per_ev_cell": 1.6,
  "magnetic_moment_mub_per_cell": 2.3,
  "energy_ev_per_atom": -4.3066
}